1.
Ca3Tb2ErSe6: optimized geometry, PBE.

Cell and atoms, written as POSCAR:
```
Ca3Tb2ErSe6
1.0
-6.028 0.427 -3.747
-0.255 -1.098 7.021
1.924 6.970 -0.045
Ca Tb Er Se
3 2 1 6
direct
0.168 0.832 0.500
0.832 0.168 0.500
0.500 0.500 0.500
0.334 0.666 0.000
0.666 0.334 0.000
0.000 0.000 0.000
0.918 0.588 0.755
0.752 0.752 0.246
0.082 0.412 0.245
0.588 0.918 0.755
0.248 0.248 0.754
0.412 0.082 0.245
```

The space group is No. 12. As for the total magnetization: 0.0 μB per formula unit. The energy relative to the elements, uncorrected comes out at -1872 meV/atom.

2.
TiGaS2N: optimized geometry, PBE.

Cell and atoms, written as POSCAR:
```
TiGaS2N
1.0
4.867 0.000 0.000
0.000 4.867 0.000
0.000 0.000 3.802
S N Ga Ti
2 1 1 1
direct
0.000 0.500 0.000
0.500 0.000 0.000
0.000 0.000 0.500
0.500 0.500 0.500
0.000 0.000 0.000
```

The space group is No. 123. Its relative energy among the computed polymorphs is 0.000 eV/atom. As for the total magnetization: 0.0 μB per formula unit. The energy relative to the elements, uncorrected comes out at -153 meV/atom.

3.
Pr2Cu3Au: optimized geometry, PBE.

Cell and atoms, written as POSCAR:
```
Pr2Cu3Au
1.0
-4.667 2.459 -2.490
-1.829 -0.053 5.538
6.312 5.702 -0.447
Pr Cu Au
4 6 2
direct
0.250 0.750 0.500
0.752 0.752 0.000
0.750 0.250 0.500
0.248 0.248 0.000
0.323 0.839 0.162
0.161 0.677 0.838
0.677 0.161 0.838
0.839 0.323 0.162
0.161 0.161 0.322
0.839 0.839 0.678
0.667 0.667 0.333
0.333 0.333 0.667
```

The space group is No. 69. As for the total magnetization: 0.0 μB per formula unit. The formation energy comes out at -0.37 eV per atom.

4.
TaCl2: optimized geometry, PBE.

Cell and atoms, written as POSCAR:
```
TaCl2
1.0
7.376 9.867 6.901
7.030 11.858 3.058
-9.054 -9.932 -4.331
Ta Cl
2 4
direct
0.500 0.500 0.000
0.250 0.750 0.500
0.945 0.945 0.000
0.805 0.305 0.500
0.055 0.055 0.000
0.695 0.195 0.500
```

The space group is No. 141. As for the total magnetization: 0.0 μB per formula unit. The energy relative to the elements, uncorrected comes out at -385 meV/atom.

5.
NbPS2N: optimized geometry, PBE.

Cell and atoms, written as POSCAR:
```
NbPS2N
1.0
4.705 0.000 0.000
0.000 4.705 0.000
0.000 0.000 3.236
P Nb S N
1 1 2 1
direct
0.000 0.000 0.000
0.500 0.500 0.500
0.000 0.500 0.000
0.500 0.000 0.000
0.000 0.000 0.500
```

The space group is No. 123. Its relative energy among the computed polymorphs is 0.000 eV/atom. As for the total magnetization: 1.7 μB per formula unit. The energy relative to the elements, uncorrected comes out at 428 meV/atom.

6.
TbZnHg: optimized geometry, PBE.

Cell and atoms, written as POSCAR:
```
TbZnHg
1.0
-2.018 3.681 2.105
-4.749 -1.414 3.157
1.481 0.574 5.655
Tb Zn Hg
2 2 2
direct
0.502 0.250 0.746
0.498 0.750 0.254
0.844 0.159 0.153
0.156 0.841 0.847
0.177 0.326 0.320
0.823 0.674 0.680
```

The space group is No. 12. As for the total magnetization: 0.0 μB per formula unit. The formation energy comes out at -0.40 eV per atom.

Copy entry 6 word for word.
TbZnHg: optimized geometry, PBE.

Cell and atoms, written as POSCAR:
```
TbZnHg
1.0
-2.018 3.681 2.105
-4.749 -1.414 3.157
1.481 0.574 5.655
Tb Zn Hg
2 2 2
direct
0.502 0.250 0.746
0.498 0.750 0.254
0.844 0.159 0.153
0.156 0.841 0.847
0.177 0.326 0.320
0.823 0.674 0.680
```

The space group is No. 12. As for the total magnetization: 0.0 μB per formula unit. The formation energy comes out at -0.40 eV per atom.

- Which of these has the highest total magnetization?
  NbPS2N

- What is the total magnetization in the third record?
  0.0 μB per formula unit